(1)
Na2InCoH | Alexandria via LeMat-Bulk | PBE | optimized geometry; E_tot = -2.774 eV/atom; V = 17.289 A^3/atom; spin magnetization = 0.2116 μB/atom
1.0
4.150 0.000 0.000
0.000 5.020 0.000
0.000 0.000 4.150
H Na Co In
1 2 1 1
Cartesian
0.000 0.000 0.000
0.000 0.000 2.075
2.075 0.000 0.000
2.075 2.510 2.075
0.000 2.510 0.000

---

(2)
Na2InCoH6 | Alexandria via LeMat-Bulk | PBE | optimized geometry; E_tot = -3.267 eV/atom; V = 11.522 A^3/atom; spin magnetization = 0.0000 μB/atom
1.0
5.395 0.000 0.000
0.000 4.966 0.000
0.000 -2.483 4.301
H Na Co In
6 2 1 1
Cartesian
0.826 2.483 2.976
0.826 3.819 0.662
0.826 1.147 0.662
4.569 0.000 1.325
4.569 1.336 3.638
4.569 -1.336 3.638
4.445 2.483 1.434
0.950 0.000 2.867
0.000 0.000 0.000
2.697 0.000 0.000

---

(3)
Nb2InCoH | Alexandria via LeMat-Bulk | PBE | optimized geometry; E_tot = -6.695 eV/atom; V = 13.976 A^3/atom; spin magnetization = 0.2439 μB/atom
1.0
4.123 0.000 0.000
0.000 4.123 0.000
0.000 0.000 4.111
In Nb H Co
1 2 1 1
Cartesian
2.062 2.062 2.055
2.062 0.000 0.000
0.000 2.062 0.000
0.000 0.000 0.000
0.000 0.000 2.055

---

(4)
InCoNiH2 | Alexandria via LeMat-Bulk | PBE | optimized geometry; E_tot = -3.855 eV/atom; V = 12.082 A^3/atom; spin magnetization = 0.0000 μB/atom
1.0
-2.633 2.071 0.861
-2.313 -1.134 -4.344
-1.588 -2.659 1.539
In Co H Ni
1 1 2 1
Cartesian
-1.157 -0.567 -2.172
0.000 0.000 0.000
-1.316 1.035 0.431
-0.794 -1.329 0.770
-3.267 -0.861 -0.972

---

(5)
InCoNi2H | Alexandria via LeMat-Bulk | PBE | optimized geometry; E_tot = -4.998 eV/atom; V = 10.735 A^3/atom; spin magnetization = 0.1940 μB/atom
1.0
-2.476 0.913 2.677
0.943 -3.087 1.925
2.695 1.961 1.824
H Ni In Co
1 2 1 1
Cartesian
0.000 0.000 0.000
-1.238 0.457 1.338
0.471 -1.544 0.963
0.581 -0.107 3.213
1.348 0.980 0.912

---

(6)
InCo2HPd | Alexandria via LeMat-Bulk | PBE | optimized geometry; E_tot = -5.105 eV/atom; V = 11.767 A^3/atom; spin magnetization = 0.4101 μB/atom
1.0
3.865 0.000 0.000
0.000 3.865 0.000
0.000 0.000 3.940
H Pd Co In
1 1 2 1
Cartesian
0.000 0.000 0.000
0.000 0.000 1.970
0.000 1.932 0.000
1.932 0.000 0.000
1.932 1.932 1.970